Density functional theory data (PBE-GGA) for an optimized crystal structure of HfTa2H8.

Calculated values
Distance to the lowest polymorph of the same formula ... 0 meV/atom
DOS at the Fermi energy ... 0.17 states/eV per atom

Lattice parameters (Å, degrees): 3.7665 4.9114 4.9114 110.81 92.98 92.98
Atoms (fractional coordinates):
Ta: 0.0000 0.6828 0.3172
Ta: 0.0000 0.3172 0.6828
H: 0.5000 0.7453 0.2547
H: 0.8448 0.6786 0.9441
H: 0.5000 0.2547 0.7453
H: 0.8448 0.9441 0.6786
H: 0.7216 0.3555 0.3555
H: 0.2784 0.6445 0.6445
H: 0.1552 0.0559 0.3214
H: 0.1552 0.3214 0.0559
Hf: 0.5000 0.0000 0.0000

---

Density functional theory data (PBE-GGA) for an optimized crystal structure of Ac2NiBi4Rh3.

Calculated values
E ... -56.5 eV for the cell shown
DOS at the Fermi energy ... 0.75 states/eV per atom

Lattice parameters (Å, degrees): 4.7903 4.7903 10.7475 90.00 90.00 90.00
Atoms (fractional coordinates):
Rh: 0.5000 0.0000 0.8711
Rh: 0.0000 0.5000 0.1289
Rh: 0.0000 0.0000 0.5000
Bi: 0.5000 0.0000 0.6212
Bi: 0.5000 0.5000 0.0000
Bi: 0.0000 0.0000 0.0000
Bi: 0.0000 0.5000 0.3788
Ac: 0.0000 0.5000 0.7355
Ac: 0.5000 0.0000 0.2645
Ni: 0.5000 0.5000 0.5000

---

Density functional theory data (PBE-GGA) for an optimized crystal structure of KBeB2H.

Calculated values
E ... -5.2 eV for the cell shown
DOS at the Fermi energy ... 1.29 states/eV per atom

Lattice parameters (Å, degrees): 6.0778 6.8842 6.0778 90.00 90.00 90.00
Each line ends with the local moment (μB).
Atoms (fractional coordinates):
K: 0.0000 0.0000 0.0000  0.07
B: 0.5000 0.0000 0.0000  0.53
B: 0.0000 0.0000 0.5000  0.49
Be: 0.0000 0.5000 0.0000  0.03
H: 0.5000 0.5000 0.5000  0.38

---

Density functional theory data (PBE-GGA) for an optimized crystal structure of K5Ag3F12.

Calculated values
E ... -291.7 eV for the cell shown
DOS at the Fermi energy ... 0.58 states/eV per atom

Lattice parameters (Å, degrees): 13.0756 13.0756 13.0756 109.47 109.47 109.47
Each line ends with the local moment (μB).
Atoms (fractional coordinates):
Ag: 0.2500 0.6250 0.8750  0.33
Ag: 0.7500 0.8750 0.6250  0.33
Ag: 0.6250 0.3750 0.7500  0.33
Ag: 0.6250 0.2500 0.3750  0.33
Ag: 0.2500 0.1250 0.3750  0.33
Ag: 0.3750 0.6250 0.2500  0.33
Ag: 0.7500 0.3750 0.1250  0.33
Ag: 0.3750 0.7500 0.6250  0.33
Ag: 0.8750 0.7500 0.1250  0.33
Ag: 0.8750 0.1250 0.2500  0.33
Ag: 0.1250 0.2500 0.8750  0.33
Ag: 0.1250 0.8750 0.7500  0.33
F: 0.6521 0.4431 0.6314  0.08
F: 0.2090 0.6521 0.0207  0.08
F: 0.8117 0.5207 0.8686  0.08
F: 0.3686 0.0569 0.3479  0.08
F: 0.8686 0.8479 0.5569  0.08
F: 0.2910 0.8117 0.9431  0.08
F: 0.8479 0.8686 0.0569  0.08
F: 0.7090 0.5207 0.1521  0.08
F: 0.0569 0.3686 0.8479  0.08
F: 0.6883 0.0569 0.2090  0.08
F: 0.6314 0.9431 0.6521  0.08
F: 0.3479 0.7910 0.4793  0.08
F: 0.8479 0.9793 0.2910  0.08
F: 0.1314 0.1521 0.4431  0.08
F: 0.9431 0.6314 0.1521  0.08
F: 0.9793 0.1314 0.6883  0.08
F: 0.5207 0.8117 0.3686  0.08
F: 0.5207 0.7090 0.6521  0.08
F: 0.3117 0.9431 0.7910  0.08
F: 0.3479 0.5569 0.3686  0.08
F: 0.4793 0.2910 0.3479  0.08
F: 0.8686 0.0207 0.8117  0.08
F: 0.8117 0.2910 0.4431  0.08
F: 0.5569 0.2090 0.1883  0.08
F: 0.1314 0.9793 0.1883  0.08
F: 0.4431 0.6521 0.1314  0.08
F: 0.1883 0.7090 0.5569  0.08
F: 0.7910 0.4431 0.3117  0.08
F: 0.0207 0.8686 0.3117  0.08
F: 0.0207 0.1521 0.2090  0.08
F: 0.3117 0.3686 0.0207  0.08
F: 0.4431 0.7910 0.8117  0.08
F: 0.9793 0.8479 0.7910  0.08
F: 0.1883 0.4793 0.1314  0.08
F: 0.4793 0.1883 0.6314  0.08
F: 0.3686 0.3117 0.5207  0.08
F: 0.2090 0.5569 0.6883  0.08
F: 0.0569 0.6883 0.7090  0.08
F: 0.7910 0.3479 0.9793  0.08
F: 0.6521 0.2090 0.5207  0.08
F: 0.2910 0.4793 0.8479  0.08
F: 0.9431 0.3117 0.2910  0.08
F: 0.5569 0.3479 0.8686  0.08
F: 0.1521 0.0207 0.7090  0.08
F: 0.6314 0.6883 0.4793  0.08
F: 0.6883 0.6314 0.9793  0.08
F: 0.7090 0.1883 0.0569  0.08
F: 0.1521 0.1314 0.9431  0.08
K: 0.7500 0.1250 0.8750  0.00
K: 0.3750 0.2500 0.1250  0.00
K: 0.5000 0.5000 0.5000  0.00
K: 0.2500 0.3750 0.6250  0.00
K: 0.1250 0.7500 0.3750  0.00
K: 0.6250 0.7500 0.8750  0.00
K: 0.1250 0.3750 0.2500  0.00
K: 0.7500 0.6250 0.3750  0.00
K: 0.6250 0.8750 0.2500  0.00
K: 0.2500 0.8750 0.1250  0.00
K: 0.0000 0.0000 0.0000  0.00
K: 0.8750 0.6250 0.7500  0.00
K: 0.0000 0.5000 0.0000  0.00
K: 0.0000 0.0000 0.5000  0.00
K: 0.0000 0.5000 0.5000  0.00
K: 0.5000 0.5000 0.0000  0.00
K: 0.8750 0.2500 0.6250  0.00
K: 0.5000 0.0000 0.5000  0.00
K: 0.5000 0.0000 0.0000  0.00
K: 0.3750 0.1250 0.7500  0.00

---

Density functional theory data (PBE-GGA) for an optimized crystal structure of Fe2SiCl.

Calculated values
Distance to the lowest polymorph of the same formula ... 0 meV/atom
DOS at the Fermi energy ... 0.54 states/eV per atom

Lattice parameters (Å, degrees): 6.3539 6.3539 3.0264 76.30 76.30 32.67
Each line ends with the local moment (μB).
Atoms (fractional coordinates):
Si: 0.4671 0.4671 0.6579  -0.11
Fe: 0.8353 0.8353 0.7884  2.66
Fe: 0.9977 0.9977 0.1272  1.91
Cl: 0.1999 0.1999 0.9266  0.06

---

Density functional theory data (PBE-GGA) for an optimized crystal structure of LaPmAlRh.

Calculated values
E ... -22.4 eV for the cell shown
DOS at the Fermi energy ... 0.85 states/eV per atom

Lattice parameters (Å, degrees): 5.1827 5.1827 5.1827 60.00 60.00 60.00
Atoms (fractional coordinates):
Rh: 0.5000 0.5000 0.5000
Al: 0.0000 0.0000 0.0000
Pm: 0.7500 0.7500 0.7500
La: 0.2500 0.2500 0.2500

---

Density functional theory data (PBE-GGA) for an optimized crystal structure of BSbSe2.

Calculated values
Distance to the lowest polymorph of the same formula ... 477 meV/atom
DOS at the Fermi energy ... 0.28 states/eV per atom

Lattice parameters (Å, degrees): 8.5177 8.5177 8.5177 22.82 22.82 22.82
Atoms (fractional coordinates):
Se: 0.1163 0.1163 0.1163
Se: 0.8837 0.8837 0.8837
Sb: 0.0000 0.0000 0.0000
B: 0.5000 0.5000 0.5000

---

Density functional theory data (PBE-GGA) for an optimized crystal structure of CrInRu2.

Calculated values
E ... -29.8 eV for the cell shown
DOS at the Fermi energy ... 1.13 states/eV per atom

Lattice parameters (Å, degrees): 3.9530 2.8641 5.6900 72.30 90.00 90.00
Each line ends with the local moment (μB).
Atoms (fractional coordinates):
Ru: 0.0000 0.0839 0.0280  -0.05
Ru: 0.0000 0.4161 0.4720  -0.05
In: 0.5000 0.7500 0.7500  -0.01
Cr: 0.5000 0.2500 0.2500  1.54

---

Density functional theory data (PBE-GGA) for an optimized crystal structure of La2AlTl.

Calculated values
E ... -16.4 eV for the cell shown
DOS at the Fermi energy ... 0.87 states/eV per atom

Lattice parameters (Å, degrees): 3.5970 3.5970 9.2567 90.00 90.00 90.00
Atoms (fractional coordinates):
La: 0.0000 0.0000 0.9482
La: 0.5000 0.5000 0.2864
Tl: 0.0000 0.0000 0.5420
Al: 0.5000 0.5000 0.7234

---

Density functional theory data (PBE-GGA) for an optimized crystal structure of PtS2Br2.

Calculated values
E ... -35.3 eV for the cell shown
DOS at the Fermi energy ... 0.09 states/eV per atom

Lattice parameters (Å, degrees): 8.4585 7.5850 6.8837 77.30 52.09 69.03
Atoms (fractional coordinates):
Br: 0.2478 0.7499 0.3680
Br: 0.6158 0.7499 0.6320
Br: 0.7522 0.2501 0.6320
Br: 0.3842 0.2501 0.3680
S: 0.7232 0.5766 0.0000
S: 0.1170 0.2827 0.0000
S: 0.8830 0.7173 0.0000
S: 0.2768 0.4234 0.0000
Pt: 0.1563 0.5000 0.6873
Pt: 0.8437 0.5000 0.3127

---

Density functional theory data (PBE-GGA) for an optimized crystal structure of Tl2SnHg.

Calculated values
Distance to the lowest polymorph of the same formula ... 0 meV/atom
DOS at the Fermi energy ... 0.40 states/eV per atom

Lattice parameters (Å, degrees): 3.5922 6.6445 10.4816 82.41 80.13 74.32
Atoms (fractional coordinates):
Hg: 0.1349 0.1893 0.5408
Hg: 0.8651 0.8107 0.4592
Sn: 0.8621 0.3149 0.9609
Sn: 0.1379 0.6851 0.0391
Tl: 0.3824 0.0375 0.1977
Tl: 0.3849 0.5312 0.6989
Tl: 0.6151 0.4688 0.3011
Tl: 0.6176 0.9625 0.8023

---

Density functional theory data (PBE-GGA) for an optimized crystal structure of CoTcP3.

Calculated values
Distance to the lowest polymorph of the same formula ... 0 meV/atom
DOS at the Fermi energy ... 1.06 states/eV per atom

Lattice parameters (Å, degrees): 4.2666 4.2666 4.2666 90.00 90.00 90.00
Each line ends with the local moment (μB).
Atoms (fractional coordinates):
P: 0.5000 0.0000 0.0000  -0.05
P: 0.0000 0.5000 0.0000  -0.07
P: 0.0000 0.0000 0.5000  -0.07
Tc: 0.5000 0.5000 0.5000  1.36
Co: 0.0000 0.0000 0.0000  -0.18

---

Density functional theory data (PBE-GGA) for an optimized crystal structure of CaTl2SnO6.

Calculated values
E ... -55.0 eV for the cell shown

Lattice parameters (Å, degrees): 5.7343 5.7345 6.0463 61.69 61.69 60.00
Atoms (fractional coordinates):
Ca: 0.8091 0.8091 0.5726
O: 0.4118 0.6885 0.7732
O: 0.1265 0.4118 0.7732
O: 0.5861 0.2129 0.2508
O: 0.9501 0.5861 0.2509
O: 0.6885 0.1265 0.7732
O: 0.2130 0.9501 0.2508
Sn: 0.3174 0.3174 0.0479
Tl: 0.0275 0.0275 0.9174
Tl: 0.5316 0.5316 0.4053

---

Density functional theory data (PBE-GGA) for an optimized crystal structure of CuIr2W.

Calculated values
Distance to the lowest polymorph of the same formula ... 467 meV/atom
DOS at the Fermi energy ... 1.67 states/eV per atom

Lattice parameters (Å, degrees): 4.3550 4.3550 4.3550 60.00 60.00 60.00
Atoms (fractional coordinates):
Ir: 0.7500 0.7500 0.7500
Ir: 0.0000 0.0000 0.0000
W: 0.2500 0.2500 0.2500
Cu: 0.5000 0.5000 0.5000

---

Density functional theory data (PBE-GGA) for an optimized crystal structure of Tl7HgAu2.

Calculated values
Distance to the lowest polymorph of the same formula ... 103 meV/atom
DOS at the Fermi energy ... 0.42 states/eV per atom

Lattice parameters (Å, degrees): 5.3193 8.4539 8.4539 113.73 90.00 90.00
Atoms (fractional coordinates):
Tl: 0.5000 0.9274 0.6861
Tl: 0.5000 0.6861 0.9274
Tl: 0.5000 0.0726 0.3139
Tl: 0.5000 0.3139 0.0726
Tl: 0.0000 0.7740 0.2260
Tl: 0.0000 0.2260 0.7740
Tl: 0.5000 0.5000 0.5000
Hg: 0.0000 0.0000 0.0000
Au: 0.5000 0.7013 0.2987
Au: 0.5000 0.2987 0.7013

---

Density functional theory data (PBE-GGA) for an optimized crystal structure of MgScB.

Calculated values
Distance to the lowest polymorph of the same formula ... 301 meV/atom
DOS at the Fermi energy ... 0.58 states/eV per atom

Lattice parameters (Å, degrees): 6.1693 5.0710 3.5048 69.78 73.52 80.28
Atoms (fractional coordinates):
Sc: 0.5760 0.4337 0.3314
Sc: 0.2845 0.0477 0.1699
Mg: 0.8164 0.9691 0.9435
Mg: 0.0441 0.5123 0.5578
B: 0.5293 0.8580 0.6426
B: 0.3313 0.6234 0.8587

---

Density functional theory data (PBE-GGA) for an optimized crystal structure of ZrTaNb2.

Calculated values
Distance to the lowest polymorph of the same formula ... 23 meV/atom
DOS at the Fermi energy ... 1.74 states/eV per atom

Lattice parameters (Å, degrees): 4.7355 5.8695 6.8528 125.72 90.00 90.00
Atoms (fractional coordinates):
Zr: 0.7500 0.7564 0.8782
Zr: 0.2500 0.2436 0.1218
Ta: 0.2500 0.2536 0.6268
Ta: 0.7500 0.7464 0.3732
Nb: 0.2500 0.7549 0.6103
Nb: 0.7500 0.2451 0.3897
Nb: 0.2500 0.7549 0.1446
Nb: 0.7500 0.2451 0.8554

---

Density functional theory data (PBE-GGA) for an optimized crystal structure of Sc3CoSn.

Calculated values
Distance to the lowest polymorph of the same formula ... 143 meV/atom
DOS at the Fermi energy ... 1.34 states/eV per atom

Lattice parameters (Å, degrees): 4.8003 4.8003 4.8003 90.00 90.00 90.00
Atoms (fractional coordinates):
Sc: 0.0000 0.0000 0.5000
Sc: 0.0000 0.5000 0.0000
Sc: 0.5000 0.0000 0.0000
Sn: 0.5000 0.5000 0.5000
Co: 0.0000 0.0000 0.0000

---

Density functional theory data (PBE-GGA) for an optimized crystal structure of Na8GaTe6.

Calculated values
E ... -86.3 eV for the cell shown
DOS at the Fermi energy ... 0.76 states/eV per atom

Lattice parameters (Å, degrees): 9.3462 8.0548 13.4111 90.00 90.00 90.00
Atoms (fractional coordinates):
Na: 0.6039 0.5000 0.4472
Na: 0.4417 0.7205 0.6825
Na: 0.0677 0.7079 0.6647
Na: 0.7767 0.7776 0.8401
Na: 0.4417 0.2795 0.6825
Na: 0.0677 0.2921 0.6647
Na: 0.7444 0.5000 0.0213
Na: 0.9323 0.2079 0.1647
Na: 0.3961 0.0000 0.9472
Na: 0.9323 0.7921 0.1647
Na: 0.2556 0.0000 0.5213
Na: 0.2233 0.7224 0.3401
Na: 0.2233 0.2776 0.3401
Na: 0.5583 0.7795 0.1825
Na: 0.7767 0.2224 0.8401
Na: 0.5583 0.2205 0.1825
Te: 0.0111 0.5000 0.8662
Te: 0.5063 0.0000 0.3718
Te: 0.2405 0.0000 0.7448
Te: 0.4937 0.5000 0.8718
Te: 0.2479 0.2491 0.1066
Te: 0.7521 0.2509 0.6066
Te: 0.2479 0.7509 0.1066
Te: 0.7521 0.7491 0.6066
Te: 0.7595 0.5000 0.2448
Te: 0.9889 0.0000 0.3662
Te: 0.2766 0.5000 0.5225
Te: 0.7234 0.0000 0.0225
Ga: 0.7504 0.0000 0.4745
Ga: 0.2496 0.5000 0.9745

---

Density functional theory data (PBE-GGA) for an optimized crystal structure of HgPb6Au8.

Calculated values
E ... -49.2 eV for the cell shown
DOS at the Fermi energy ... 0.41 states/eV per atom

Lattice parameters (Å, degrees): 7.5993 7.5993 7.5993 68.74 68.74 68.74
Atoms (fractional coordinates):
Au: 0.8266 0.8266 0.8266
Au: 0.4292 0.8312 0.0265
Au: 0.9735 0.5708 0.1688
Au: 0.1734 0.1734 0.1734
Au: 0.8312 0.0265 0.4292
Au: 0.0265 0.4292 0.8312
Au: 0.1688 0.9735 0.5708
Au: 0.5708 0.1688 0.9735
Pb: 0.6563 0.4067 0.1589
Pb: 0.3437 0.5933 0.8411
Pb: 0.1589 0.6563 0.4067
Pb: 0.5933 0.8411 0.3437
Pb: 0.4067 0.1589 0.6563
Pb: 0.8411 0.3437 0.5933
Hg: 0.0000 0.0000 0.0000